(1)
The following is a PBE-GGA calculation of a geometry-optimized Be2Pd2Pb structure, from Alexandria via LeMat-Bulk.

Output
DFT formation energy	-0.19	eV per atom
ΔE to the lowest computed polymorph	1	meV/atom

```
data_Be2Pd2Pb
_space_group_name_H-M_alt 'I 4/m m m'
_space_group_IT_number 139
_space_group_name_Hall '-I 4 2'
_cell_length_a 3.4352
_cell_length_b 3.4352
_cell_length_c 13.1482
_cell_angle_alpha 90.00
_cell_angle_beta 90.00
_cell_angle_gamma 90.00
loop_
_atom_site_label
_atom_site_fract_x
_atom_site_fract_y
_atom_site_fract_z
_atom_site_occupancy
Be1 0.0000 0.5000 0.2500 1
Pd1 0.0000 0.0000 0.1285 1
Pb1 0.0000 0.0000 0.5000 1
```

=====

(2)
The following is a PBE-GGA calculation of a geometry-optimized K2In3SnAu4 structure, from Alexandria via LeMat-Bulk.

Output
DFT formation energy	-0.30	eV per atom

```
data_K2In3SnAu4
_space_group_name_H-M_alt 'P -4 m 2'
_space_group_IT_number 115
_cell_length_a 5.0361
_cell_length_b 5.0361
_cell_length_c 10.7013
_cell_angle_alpha 90.00
_cell_angle_beta 90.00
_cell_angle_gamma 90.00
loop_
_space_group_symop_operation_xyz
'x,y,z'
'y,-x,-z'
'-x,-y,z'
'-y,x,-z'
'-x,y,z'
'-y,-x,-z'
'x,-y,z'
'y,x,-z'
loop_
_atom_site_label
_atom_site_fract_x
_atom_site_fract_y
_atom_site_fract_z
_atom_site_occupancy
K1 0.0000 0.5000 0.2399 1
In1 0.0000 0.5000 0.8826 1
In2 0.5000 0.5000 0.5000 1
Sn1 0.0000 0.0000 0.5000 1
Au1 0.0000 0.0000 0.0000 1
Au2 0.0000 0.5000 0.6232 1
Au3 0.5000 0.5000 0.0000 1
```

=====

(3)
The following is a PBE-GGA calculation of a geometry-optimized TePb2O structure, from Alexandria via LeMat-Bulk.

Output
ΔE to the lowest computed polymorph	15	meV/atom
raw formation energy	-0.67	eV per atom

```
data_TePb2O
_space_group_name_H-M_alt 'C m c e'
_space_group_IT_number 64
_space_group_name_Hall '-C 2ac 2'
_cell_length_a 6.7819
_cell_length_b 14.1939
_cell_length_c 9.5042
_cell_angle_alpha 90.00
_cell_angle_beta 90.00
_cell_angle_gamma 90.00
loop_
_atom_site_label
_atom_site_fract_x
_atom_site_fract_y
_atom_site_fract_z
_atom_site_occupancy
Te1 0.0000 0.1564 0.0545 1
Pb1 0.0000 0.1093 0.4007 1
Pb2 0.2500 0.1468 0.7500 1
O1 0.0000 0.0532 0.6433 1
```

=====

Q: What is the formula in the first record?
A: Be2Pd2Pb